Here is a relaxed TmHCl4 crystal from Alexandria. Energies are from PBE.

Computed properties:
The calculation puts the electronic total energy at -25.2 eV/f.u. For the volume, the calculation gives 31.798 A^3/atom.

Lattice parameters (Å, degrees): 6.890 6.089 9.615 71.54 88.63 85.68
Atoms (fractional coordinates):
Tm (0.750, 0.053, 0.394)
Tm (0.250, 0.947, 0.606)
H (0.250, 0.350, 0.801)
H (0.750, 0.650, 0.199)
Cl (0.362, 0.113, 0.810)
Cl (0.138, 0.577, 0.810)
Cl (0.414, 0.277, 0.402)
Cl (0.586, 0.723, 0.598)
Cl (0.914, 0.180, 0.598)
Cl (0.862, 0.423, 0.190)
Cl (0.086, 0.820, 0.402)
Cl (0.638, 0.887, 0.190)